[1]
Entry from Alexandria via LeMat-Bulk: La3PrDy3 after structural relaxation (PBE).

Summary:
- Relative energy among the computed polymorphs: 0.000 eV per formula unit

The structure in POSCAR format:
```
La3PrDy3
1.0
9.8168 0.0000 0.0000
-4.9084 8.5016 0.0000
0.0000 0.0000 5.8698
La Pr Dy
6 2 6
Direct
0.0964 0.4722 0.2500 La
0.3758 0.9036 0.2500 La
0.4722 0.3758 0.7500 La
0.5278 0.6242 0.2500 La
0.6242 0.0964 0.7500 La
0.9036 0.5278 0.7500 La
0.3333 0.6667 0.7500 Pr
0.6667 0.3333 0.2500 Pr
0.0459 0.2302 0.7500 Dy
0.1843 0.9541 0.7500 Dy
0.2302 0.1843 0.2500 Dy
0.7698 0.8157 0.7500 Dy
0.8157 0.0459 0.2500 Dy
0.9541 0.7698 0.2500 Dy
```


[2]
Entry from Alexandria via LeMat-Bulk: LaPrDy2 after structural relaxation (PBE).

Summary:
- Relative energy among the computed polymorphs: 0.048 eV per formula unit

The structure in POSCAR format:
```
LaPrDy2
1.0
3.6708 0.0000 0.0000
0.0000 3.6708 0.0000
0.0000 0.0000 10.0974
La Pr Dy
1 1 2
Direct
0.0000 0.0000 0.0000 La
0.0000 0.0000 0.5000 Pr
0.5000 0.5000 0.2512 Dy
0.5000 0.5000 0.7488 Dy
```


[3]
Entry from Alexandria via LeMat-Bulk: LaPr5Dy4 after structural relaxation (PBE).

Summary:
- Relative energy among the computed polymorphs: 1.033 eV per formula unit

The structure in POSCAR format:
```
LaPr5Dy4
1.0
8.6743 -1.8272 0.0000
8.6743 1.8272 0.0000
-0.9297 0.0000 11.2008
La Pr Dy
1 5 4
Direct
0.0000 0.0000 0.0000 La
0.0000 0.0000 0.5000 Pr
0.1414 0.1414 0.7685 Pr
0.2001 0.2001 0.3672 Pr
0.7999 0.7999 0.6328 Pr
0.8586 0.8586 0.2315 Pr
0.3228 0.3228 0.9385 Dy
0.4631 0.4631 0.7460 Dy
0.5369 0.5369 0.2540 Dy
0.6772 0.6772 0.0615 Dy
```


[4]
Entry from Alexandria via LeMat-Bulk: LaPrDy2 after structural relaxation (PBE).

Summary:
- Relative energy among the computed polymorphs: 0.352 eV per formula unit

The structure in POSCAR format:
```
LaPrDy2
1.0
0.0000 4.0933 4.0933
4.0933 0.0000 4.0933
4.0933 4.0933 0.0000
La Pr Dy
1 1 2
Direct
0.0000 0.0000 0.0000 La
0.5000 0.5000 0.5000 Pr
0.2500 0.2500 0.2500 Dy
0.7500 0.7500 0.7500 Dy
```


[5]
Entry from Alexandria via LeMat-Bulk: La2Pr4Dy after structural relaxation (PBE).

Summary:
- Relative energy among the computed polymorphs: 0.557 eV per formula unit

The structure in POSCAR format:
```
La2Pr4Dy
1.0
6.7833 0.0000 0.0000
3.3791 8.2906 0.0000
1.3332 -0.0536 8.9910
La Pr Dy
4 8 2
Direct
0.0000 0.0000 0.0000 La
0.0293 0.3426 0.7859 La
0.4283 0.7615 0.1819 La
0.7385 0.9220 0.3229 La
0.0383 0.5333 0.1472 Pr
0.1413 0.1565 0.3590 Pr
0.1750 0.6529 0.5005 Pr
0.3403 0.9251 0.6716 Pr
0.4231 0.5372 0.8538 Pr
0.6235 0.3428 0.2169 Pr
0.7114 0.1499 0.6399 Pr
0.8082 0.7589 0.8234 Pr
0.4367 0.1295 0.9982 Dy
0.7269 0.5473 0.5020 Dy
```


[6]
Entry from Alexandria via LeMat-Bulk: La15PrDy4 after structural relaxation (PBE).

The structure in POSCAR format:
```
La15PrDy4
1.0
5.2183 0.0000 0.0000
0.0000 5.2183 0.0000
0.0000 0.0000 26.1347
La Pr Dy
15 1 4
Direct
0.0000 0.0000 0.0000 La
0.0000 0.0000 0.2012 La
0.0000 0.0000 0.4003 La
0.0000 0.0000 0.5997 La
0.0000 0.0000 0.7988 La
0.0000 0.5000 0.1015 La
0.0000 0.5000 0.3008 La
0.0000 0.5000 0.5000 La
0.0000 0.5000 0.6992 La
0.0000 0.5000 0.8985 La
0.5000 0.0000 0.1015 La
0.5000 0.0000 0.3008 La
0.5000 0.0000 0.5000 La
0.5000 0.0000 0.6992 La
0.5000 0.0000 0.8985 La
0.5000 0.5000 0.0000 Pr
0.5000 0.5000 0.2012 Dy
0.5000 0.5000 0.4003 Dy
0.5000 0.5000 0.5997 Dy
0.5000 0.5000 0.7988 Dy
```


[7]
Entry from Alexandria via LeMat-Bulk: La12Pr6Dy after structural relaxation (PBE).

The structure in POSCAR format:
```
La12Pr6Dy
1.0
6.8439 3.9514 4.3757
-6.8439 3.9514 4.3757
0.0000 -7.9027 4.3757
La Pr Dy
12 6 1
Direct
0.9996 0.2615 0.7385 La
0.0004 0.7385 0.2615 La
0.1670 0.5836 0.5838 La
0.2615 0.0004 0.7385 La
0.2615 0.7385 0.9996 La
0.4164 0.4162 0.8330 La
0.4162 0.8330 0.4164 La
0.5838 0.1670 0.5836 La
0.5836 0.5838 0.1670 La
0.7385 0.2615 0.0004 La
0.7385 0.9996 0.2615 La
0.8330 0.4164 0.4162 La
0.1408 0.1417 0.4078 Pr
0.1417 0.4078 0.1408 Pr
0.4078 0.1408 0.1417 Pr
0.5922 0.8592 0.8583 Pr
0.8583 0.5922 0.8592 Pr
0.8592 0.8583 0.5922 Pr
0.0000 0.0000 0.0000 Dy
```


[8]
Entry from Alexandria via LeMat-Bulk: LaPrDy after structural relaxation (PBE).

Summary:
- Relative energy among the computed polymorphs: 1.050 eV per formula unit

The structure in POSCAR format:
```
LaPrDy
1.0
-3.1415 3.1415 5.2828
3.1415 -3.1415 5.2828
3.1415 3.1415 -5.2828
La Pr Dy
2 2 2
Direct
0.0000 0.0000 0.0000 La
0.7500 0.2500 0.5000 La
0.4009 0.9009 0.5000 Pr
0.6509 0.6509 0.0000 Pr
0.0767 0.5767 0.5000 Dy
0.3267 0.3267 0.0000 Dy
```


[9]
Entry from Alexandria via LeMat-Bulk: LaPr12Dy6 after structural relaxation (PBE).

Summary:
- Relative energy among the computed polymorphs: 0.000 eV per formula unit

The structure in POSCAR format:
```
LaPr12Dy6
1.0
6.1358 3.5425 5.1645
-6.1358 3.5425 5.1645
0.0000 -7.0850 5.1645
La Pr Dy
1 12 6
Direct
0.0000 0.0000 0.0000 La
0.0174 0.3636 0.1951 Pr
0.1951 0.0174 0.3636 Pr
0.2182 0.5673 0.4638 Pr
0.3636 0.1951 0.0174 Pr
0.4327 0.5362 0.7818 Pr
0.4638 0.2182 0.5673 Pr
0.5362 0.7818 0.4327 Pr
0.5673 0.4638 0.2182 Pr
0.6364 0.8049 0.9826 Pr
0.7818 0.4327 0.5362 Pr
0.8049 0.9826 0.6364 Pr
0.9826 0.6364 0.8049 Pr
0.0998 0.2587 0.7014 Dy
0.2587 0.7014 0.0998 Dy
0.2986 0.9002 0.7413 Dy
0.7014 0.0998 0.2587 Dy
0.7413 0.2986 0.9002 Dy
0.9002 0.7413 0.2986 Dy
```


[10]
Entry from Alexandria via LeMat-Bulk: La12Pr5Dy after structural relaxation (PBE).

The structure in POSCAR format:
```
La12Pr5Dy
1.0
7.8484 -7.8755 0.0000
7.8484 7.8755 0.0000
0.0000 0.0000 5.2719
La Pr Dy
12 5 1
Direct
0.9999 0.3315 0.5000 La
0.0001 0.6685 0.5000 La
0.1654 0.1654 0.0000 La
0.1663 0.4993 0.0000 La
0.3315 0.9999 0.5000 La
0.3321 0.3321 0.5000 La
0.4993 0.1663 0.0000 La
0.5007 0.8337 0.0000 La
0.6685 0.0001 0.5000 La
0.6679 0.6679 0.5000 La
0.8337 0.5007 0.0000 La
0.8346 0.8346 0.0000 La
0.1658 0.8342 0.0000 Pr
0.3333 0.6667 0.5000 Pr
0.5000 0.5000 0.0000 Pr
0.6667 0.3333 0.5000 Pr
0.8342 0.1658 0.0000 Pr
0.0000 0.0000 0.5000 Dy
```


[11]
Entry from Alexandria via LeMat-Bulk: La3Pr6Dy after structural relaxation (PBE).

The structure in POSCAR format:
```
La3Pr6Dy
1.0
6.8503 -8.2735 0.0000
6.8503 8.2735 0.0000
0.0000 0.0000 6.4364
La Pr Dy
6 12 2
Direct
0.1356 0.8644 0.5000 La
0.2218 0.3647 0.1353 La
0.3647 0.2218 0.6353 La
0.6353 0.7782 0.1353 La
0.7782 0.6353 0.6353 La
0.8644 0.1356 0.0000 La
0.0601 0.1796 0.5180 Pr
0.0652 0.4854 0.6872 Pr
0.1796 0.0601 0.0180 Pr
0.2420 0.7580 0.9745 Pr
0.4392 0.5608 0.8618 Pr
0.4854 0.0652 0.1872 Pr
0.5146 0.9348 0.6872 Pr
0.5608 0.4392 0.3618 Pr
0.7580 0.2420 0.4745 Pr
0.8204 0.9399 0.5180 Pr
0.9348 0.5146 0.1872 Pr
0.9399 0.8204 0.0180 Pr
0.3467 0.6533 0.4104 Dy
0.6533 0.3467 0.9104 Dy
```


[12]
Entry from Alexandria via LeMat-Bulk: La3Pr4Dy after structural relaxation (PBE).

Summary:
- Relative energy among the computed polymorphs: 0.000 eV per formula unit

The structure in POSCAR format:
```
La3Pr4Dy
1.0
10.4921 0.0000 0.0000
0.0000 7.3797 0.0000
0.0000 0.0000 7.3965
La Pr Dy
6 8 2
Direct
0.0000 0.2490 0.0000 La
0.2495 0.4999 0.7496 La
0.2505 0.5001 0.2496 La
0.5000 0.7510 0.5000 La
0.7495 0.5001 0.2496 La
0.7505 0.4999 0.7496 La
0.0000 0.2491 0.4990 Pr
0.0000 0.7505 0.4992 Pr
0.2504 0.0000 0.2495 Pr
0.2496 0.0000 0.7495 Pr
0.5000 0.2495 0.9992 Pr
0.5000 0.7509 0.9990 Pr
0.7496 0.0000 0.2495 Pr
0.7504 0.0000 0.7495 Pr
0.0000 0.7512 0.0000 Dy
0.5000 0.2488 0.5000 Dy
```


Number 1: VASP energy -0.174 Ha/atom. Number 2: VASP energy -0.173 Ha/atom. Number 3: VASP energy -0.169 Ha/atom. Number 4: VASP energy -0.170 Ha/atom. Number 5: VASP energy -0.173 Ha/atom. Number 6: VASP energy -0.178 Ha/atom. Number 7: VASP energy -0.175 Ha/atom. Number 8: VASP energy -0.162 Ha/atom. Number 9: VASP energy -0.169 Ha/atom. Number 10: VASP energy -0.179 Ha/atom. Number 11: VASP energy -0.171 Ha/atom. Number 12: VASP energy -0.177 Ha/atom.